Density functional theory data (PBE) for LaTbPr2Nd4 after structural relaxation.

Computed properties:
As for the formation energy: 0.0162 eV per atom.

Cell: 3.6945 12.2608 6.3575 Å, 79.70 90.00 90.00°
Sites, in units of the cell vectors:
1 Nd 0.0000 0.7493 0.7502
2 Nd 0.0000 0.2507 0.2498
3 Nd 0.5000 0.7477 0.2517
4 Nd 0.5000 0.2523 0.7483
5 Pr 0.5000 0.0000 0.5000
6 Pr 0.0000 0.0000 0.0000
7 La 0.5000 0.5000 0.0000
8 Tb 0.0000 0.5000 0.5000

***

Density functional theory data (PBE) for YScU after structural relaxation.

Computed properties:
As for the formation energy: 0.1978 eV per atom.

Cell: 3.6144 5.5735 8.1871 Å, 93.20 102.75 90.00°
Sites, in units of the cell vectors:
1 Y 0.9045 0.6648 0.8090
2 Y 0.0955 0.3352 0.1910
3 U 0.7573 0.1572 0.5146
4 U 0.2427 0.8428 0.4854
5 Sc 0.4187 0.1671 0.8374
6 Sc 0.5813 0.8329 0.1626

***

Density functional theory data (PBE) for Y2Ga2SiRh5 after structural relaxation.

Computed properties:
The value obtained for the raw total energy is -6.92 eV/atom.

Cell: 3.4454 9.7987 9.7987 Å, 90.00 90.00 90.00°
Sites, in units of the cell vectors:
1 Y 0.0000 0.8278 0.6722
2 Y 0.0000 0.3278 0.8278
3 Y 0.0000 0.6722 0.1722
4 Y 0.0000 0.1722 0.3278
5 Ga 0.0000 0.8728 0.3728
6 Ga 0.0000 0.6272 0.8728
7 Ga 0.0000 0.3728 0.1272
8 Ga 0.0000 0.1272 0.6272
9 Rh 0.5000 0.8039 0.9359
10 Rh 0.5000 0.5641 0.6961
11 Rh 0.5000 0.1961 0.0641
12 Rh 0.5000 0.9359 0.1961
13 Rh 0.5000 0.5000 0.0000
14 Rh 0.5000 0.0000 0.5000
15 Rh 0.5000 0.6961 0.4359
16 Rh 0.5000 0.4359 0.3039
17 Rh 0.5000 0.0641 0.8039
18 Rh 0.5000 0.3039 0.5641
19 Si 0.0000 0.0000 0.0000
20 Si 0.0000 0.5000 0.5000

***

What is the formula in the third record?
Y2Ga2SiRh5

***

Which formula does entry 3 have?
Y2Ga2SiRh5